1.
Density functional theory data (GGA-PBE) for an optimized crystal structure of CuAg.

- energy of formation (eV per atom) = 0.099
- symmetry = Cm (8)

a = 4.7954 Å, b = 4.7954 Å, c = 8.7445 Å
α = 90.17°, β = 90.17°, γ = 47.37°
Closest atoms and distances in Å follow each position.
Fractional positions:
Cu 0.7953 0.7953 0.6075  6 Cu 2.61-2.87, 6 Ag 2.66-2.82
Cu 0.0031 0.0031 0.9845  4 Cu 2.62-2.84, 7 Ag 2.68-2.81
Cu 0.6942 0.6942 0.8875  6 Cu 2.61-2.84, 6 Ag 2.70-2.81
Cu 0.2045 0.2045 0.4180  3 Cu 2.65-2.66, 8 Ag 2.70-2.91
Cu 0.1074 0.1074 0.7044  7 Cu 2.62-2.87, 5 Ag 2.69-2.78
Ag 0.3999 0.3999 0.7975  10 Cu 2.68-2.78, 2 Ag 2.70-2.72
Ag 0.5970 0.5970 0.1930  7 Ag 2.75-2.87, 5 Cu 2.78-2.91
Ag 0.2955 0.2955 0.0899  6 Ag 2.72-2.85, 6 Cu 2.73-2.98
Ag 0.8945 0.8945 0.3090  5 Cu 2.72-3.00, 7 Ag 2.78-2.85
Ag 0.5085 0.5085 0.5086  8 Cu 2.66-2.82, 4 Ag 2.70-2.87

2.
Density functional theory data (GGA-PBE) for an optimized crystal structure of Cu3Ag2.

- energy of formation (eV per atom) = 0.090
- symmetry = Cm (8)

a = 4.7986 Å, b = 4.7986 Å, c = 11.2406 Å
α = 97.90°, β = 97.90°, γ = 33.97°
Closest atoms and distances in Å follow each position.
Fractional positions:
Cu 0.6991 0.6991 0.8794  9 Cu 2.52-2.80, 2 Ag 2.73
Cu 0.4909 0.4909 0.5082  6 Cu 2.65-2.80, 6 Ag 2.73-2.86
Cu 0.9040 0.9040 0.3081  4 Cu 2.67-2.80, 8 Ag 2.72-2.94
Cu 0.0779 0.0779 0.7063  8 Cu 2.52-2.80, 3 Ag 2.68
Cu 0.4046 0.4046 0.8146  7 Cu 2.47-2.70, 2 Ag 2.67
Cu 0.0212 0.0212 0.9822  4 Cu 2.47-2.55, 5 Ag 2.72-2.76
Ag 0.7899 0.7899 0.6219  8 Cu 2.67-2.86, 4 Ag 2.80-2.82
Ag 0.6016 0.6016 0.1926  5 Cu 2.76-2.89, 7 Ag 2.76-2.84
Ag 0.3134 0.3134 0.0798  7 Cu 2.72-2.94, 5 Ag 2.76-2.84
Ag 0.1974 0.1974 0.4068  6 Cu 2.72-2.77, 6 Ag 2.80-2.82

3.
Density functional theory data (GGA-PBE) for an optimized crystal structure of Cu2Ag7.

- energy of formation (eV per atom) = 0.044
- symmetry = I4/mmm (139)

a = 17.8676 Å, b = 17.8676 Å, c = 17.8676 Å
α = 170.69°, β = 170.69°, γ = 13.19°
Closest atoms and distances in Å follow each position.
Fractional positions:
Ag 0.6190 0.6190 0.0000  4 Cu 2.72, 8 Ag 2.90-2.95
Ag 0.0594 0.0594 0.0000  12 Ag 2.90-2.95
Ag 0.9406 0.9406 0.0000  12 Ag 2.90-2.95
Ag 0.7200 0.7200 0.0000  4 Cu 2.72, 8 Ag 2.90-2.96
Ag 0.2800 0.2800 0.0000  4 Cu 2.72, 8 Ag 2.90-2.96
Ag 0.3810 0.3810 0.0000  4 Cu 2.72, 8 Ag 2.90-2.95
Ag 0.5000 0.5000 0.0000  12 Ag 2.90-2.94
Cu 0.8305 0.8305 0.0000  8 Ag 2.72, 4 Cu 2.90
Cu 0.1695 0.1695 0.0000  8 Ag 2.72, 4 Cu 2.90

4.
Density functional theory data (GGA-PBE) for an optimized crystal structure of CuAg.

- energy of formation (eV per atom) = 0.097
- symmetry = C2/m (12)

a = 4.7876 Å, b = 4.7876 Å, c = 4.7325 Å
α = 101.24°, β = 101.24°, γ = 33.77°
Closest atoms and distances in Å follow each position.
Fractional positions:
Cu 0.3653 0.3653 0.1220  4 Cu 2.60-2.78, 7 Ag 2.69-2.80
Cu 0.6347 0.6347 0.8780  4 Cu 2.60-2.78, 7 Ag 2.69-2.80
Ag 0.1181 0.1181 0.3577  7 Cu 2.69-2.80, 5 Ag 2.77-2.87
Ag 0.8819 0.8819 0.6423  7 Cu 2.69-2.80, 5 Ag 2.77-2.87

5.
Density functional theory data (GGA-PBE) for an optimized crystal structure of Cu3Ag2.

- energy of formation (eV per atom) = 0.071
- symmetry = C2/m (12)

a = 5.6356 Å, b = 5.6356 Å, c = 9.4047 Å
α = 96.85°, β = 96.85°, γ = 28.89°
Closest atoms and distances in Å follow each position.
Fractional positions:
Cu 0.4615 0.4615 0.8693  7 Cu 2.49-2.57, 2 Ag 2.70
Cu 0.8494 0.8494 0.0422  9 Cu 2.55-2.81, 3 Ag 2.72-2.74
Cu 0.1506 0.1506 0.9578  9 Cu 2.55-2.81, 3 Ag 2.72-2.74
Cu 0.5385 0.5385 0.1307  7 Cu 2.49-2.57, 2 Ag 2.70
Cu 0.9496 0.9496 0.3115  3 Cu 2.49-2.63, 6 Ag 2.70-2.75
Cu 0.0504 0.0504 0.6885  3 Cu 2.49-2.63, 6 Ag 2.70-2.75
Ag 0.3695 0.3695 0.5335  4 Cu 2.70-2.75, 8 Ag 2.81-2.99
Ag 0.7607 0.7607 0.7586  7 Cu 2.70-2.74, 5 Ag 2.81-2.93
Ag 0.2393 0.2393 0.2414  7 Cu 2.70-2.74, 5 Ag 2.81-2.93
Ag 0.6305 0.6305 0.4665  4 Cu 2.70-2.75, 8 Ag 2.81-2.99

6.
Density functional theory data (GGA-PBE) for an optimized crystal structure of CuAg.

- energy of formation (eV per atom) = 0.059
- symmetry = P4mm (99)

a = 2.7899 Å, b = 2.7899 Å, c = 18.8912 Å
α = 90.00°, β = 90.00°, γ = 90.00°
Closest atoms and distances in Å follow each position.
Fractional positions:
Cu 0.5000 0.5000 0.8865  12 Cu 2.51-2.79
Cu 0.0000 0.0000 0.8043  12 Cu 2.51-2.79
Cu 0.5000 0.5000 0.7209  8 Cu 2.52-2.79, 4 Ag 2.75
Cu 0.0000 0.0000 0.9689  8 Cu 2.51-2.79, 4 Ag 2.75
Cu 0.5000 0.5000 0.5190  8 Ag 2.72-2.74, 4 Cu 2.79
Ag 0.0000 0.0000 0.4196  4 Cu 2.72, 8 Ag 2.79-2.95
Ag 0.5000 0.5000 0.3038  12 Ag 2.79-2.95
Ag 0.0000 0.0000 0.1876  12 Ag 2.79-2.97
Ag 0.5000 0.5000 0.0702  4 Cu 2.75, 8 Ag 2.79-2.97
Ag 0.0000 0.0000 0.6194  8 Cu 2.74-2.75, 4 Ag 2.79

7.
Density functional theory data (GGA-PBE) for an optimized crystal structure of Cu3Ag5.

- energy of formation (eV per atom) = 0.096
- symmetry = C222 (21)

a = 4.8806 Å, b = 4.8806 Å, c = 5.6350 Å
α = 90.00°, β = 90.00°, γ = 109.85°
Closest atoms and distances in Å follow each position.
Fractional positions:
Cu 0.5000 0.0000 0.7552  10 Ag 2.73-2.90, 2 Cu 2.80
Cu 0.0000 0.0000 0.0000  8 Ag 2.79-2.82, 4 Cu 2.80
Cu 0.0000 0.5000 0.2448  10 Ag 2.73-2.90, 2 Cu 2.80
Ag 0.0000 0.0000 0.5000  6 Ag 2.80-2.85, 6 Cu 2.82-2.83
Ag 0.5000 0.5000 0.5000  8 Ag 2.80-2.85, 4 Cu 2.83
Ag 0.5000 0.0000 0.2404  6 Cu 2.73-2.90, 6 Ag 2.79-2.85
Ag 0.0000 0.5000 0.7596  6 Cu 2.73-2.90, 6 Ag 2.79-2.85
Ag 0.5000 0.5000 0.0000  6 Ag 2.79-2.82, 6 Cu 2.80

8.
Density functional theory data (GGA-PBE) for an optimized crystal structure of CuAg.

- energy of formation (eV per atom) = 0.091
- symmetry = Cm (8)

a = 7.5509 Å, b = 7.5509 Å, c = 7.4268 Å
α = 104.59°, β = 104.59°, γ = 21.54°
Closest atoms and distances in Å follow each position.
Fractional positions:
Ag 0.5905 0.5905 0.2877  7 Ag 2.75-2.82, 5 Cu 2.76-3.06
Ag 0.3998 0.3998 0.2242  6 Cu 2.71-3.02, 6 Ag 2.75-2.87
Ag 0.1942 0.1942 0.6012  5 Cu 2.72-2.78, 6 Ag 2.80-2.82
Ag 0.8134 0.8134 0.8922  3 Cu 2.68-2.70, 8 Ag 2.80-2.88
Ag 0.2001 0.2001 0.0916  5 Cu 2.76-2.91, 7 Ag 2.82-2.88
Cu 0.4073 0.4073 0.6881  7 Cu 2.51-2.63, 2 Ag 2.70
Cu 0.0003 0.0003 0.9733  6 Cu 2.54-2.82, 3 Ag 2.68-2.76
Cu 0.5908 0.5908 0.7951  7 Cu 2.54-2.82, 4 Ag 2.75-2.76
Cu 0.0005 0.0005 0.5223  4 Cu 2.51-2.55, 3 Ag 2.73-2.78
Cu 0.8032 0.8032 0.4242  5 Cu 2.58-2.83, 4 Ag 2.71-2.72

9.
Density functional theory data (GGA-PBE) for an optimized crystal structure of Cu3Ag7.

- energy of formation (eV per atom) = 0.069
- symmetry = Cm (8)

a = 6.2306 Å, b = 6.2306 Å, c = 9.4340 Å
α = 100.16°, β = 100.16°, γ = 26.64°
Closest atoms and distances in Å follow each position.
Fractional positions:
Ag 0.5951 0.5951 0.8054  6 Ag 2.72-2.87, 6 Cu 2.73-2.97
Ag 0.4991 0.4991 0.5121  10 Ag 2.80-3.11, 2 Cu 2.84
Ag 0.0980 0.0980 0.2986  11 Ag 2.84-3.03, 1 Cu 2.98
Ag 0.3998 0.3998 0.1840  3 Cu 2.72-2.74, 8 Ag 2.84-2.90
Ag 0.6950 0.6950 0.0877  8 Ag 2.72-2.98, 4 Cu 2.87-2.88
Ag 0.8019 0.8019 0.3985  11 Ag 2.83-2.98, 1 Cu 3.02
Ag 0.2110 0.2110 0.6130  3 Cu 2.72-2.73, 9 Ag 2.86-3.03
Cu 0.9001 0.9001 0.7165  5 Cu 2.60-2.87, 6 Ag 2.73-2.84
Cu 0.9896 0.9896 0.9884  5 Cu 2.60-2.87, 6 Ag 2.72-2.88
Cu 0.3104 0.3104 0.8958  6 Cu 2.60-2.87, 4 Ag 2.72-2.87

10.
Density functional theory data (GGA-PBE) for an optimized crystal structure of CuAg.

- energy of formation (eV per atom) = 0.085
- symmetry = P4mm (99)

a = 2.7892 Å, b = 2.7892 Å, c = 15.1864 Å
α = 90.00°, β = 90.00°, γ = 90.00°
Closest atoms and distances in Å follow each position.
Fractional positions:
Ag 0.5000 0.5000 0.1102  4 Cu 2.74, 8 Ag 2.79-2.96
Ag 0.0000 0.0000 0.2559  4 Cu 2.72, 8 Ag 2.79-2.96
Ag 0.0000 0.0000 0.7547  8 Cu 2.74-2.76, 4 Ag 2.79
Ag 0.0000 0.0000 0.5040  8 Cu 2.73-2.74, 4 Ag 2.79
Cu 0.0000 0.0000 0.9850  8 Cu 2.52-2.79, 4 Ag 2.74
Cu 0.5000 0.5000 0.8816  8 Cu 2.52-2.79, 4 Ag 2.76
Cu 0.5000 0.5000 0.3794  8 Ag 2.72-2.73, 4 Cu 2.79
Cu 0.5000 0.5000 0.6292  8 Ag 2.74, 4 Cu 2.79

11.
Density functional theory data (GGA-PBE) for an optimized crystal structure of CuAg.

- energy of formation (eV per atom) = 0.059
- symmetry = P4mm (99)

a = 2.7895 Å, b = 2.7895 Å, c = 18.9626 Å
α = 90.00°, β = 90.00°, γ = 90.00°
Closest atoms and distances in Å follow each position.
Fractional positions:
Cu 0.0000 0.0000 0.9795  8 Cu 2.52-2.79, 4 Ag 2.74
Cu 0.0000 0.0000 0.8145  8 Cu 2.52-2.79, 4 Ag 2.74
Cu 0.5000 0.5000 0.4957  8 Cu 2.52-2.79, 4 Ag 2.75
Cu 0.0000 0.0000 0.4134  8 Cu 2.52-2.79, 4 Ag 2.74
Cu 0.5000 0.5000 0.8970  12 Cu 2.52-2.79
Ag 0.5000 0.5000 0.7139  4 Cu 2.74, 8 Ag 2.79-2.97
Ag 0.5000 0.5000 0.3128  4 Cu 2.74, 8 Ag 2.79-2.96
Ag 0.0000 0.0000 0.5967  4 Cu 2.75, 8 Ag 2.79-2.97
Ag 0.0000 0.0000 0.1963  12 Ag 2.79-2.96
Ag 0.5000 0.5000 0.0801  4 Cu 2.74, 8 Ag 2.79-2.96

12.
Density functional theory data (GGA-PBE) for an optimized crystal structure of CuAg.

- energy of formation (eV per atom) = 0.078
- symmetry = Cmmm (65)

a = 6.8692 Å, b = 6.8692 Å, c = 2.8226 Å
α = 90.00°, β = 90.00°, γ = 116.86°
Closest atoms and distances in Å follow each position.
Fractional positions:
Ag 0.8766 0.1234 0.0000  5 Cu 2.65-2.72, 7 Ag 2.82-2.91
Ag 0.1234 0.8766 0.0000  5 Cu 2.65-2.72, 7 Ag 2.82-2.91
Ag 0.2915 0.2915 0.5000  6 Cu 2.71-2.94, 7 Ag 2.82-3.00
Ag 0.7085 0.7085 0.5000  6 Cu 2.71-2.94, 7 Ag 2.82-3.00
Cu 0.3498 0.6502 0.0000  6 Cu 2.57-2.82, 5 Ag 2.65-2.71
Cu 0.0000 0.5000 0.5000  6 Cu 2.57-2.82, 4 Ag 2.72
Cu 0.5000 0.0000 0.5000  6 Cu 2.57-2.82, 4 Ag 2.72
Cu 0.6502 0.3498 0.0000  6 Cu 2.57-2.82, 5 Ag 2.65-2.71

Look up the energy of formation of the ninth one. 0.069 eV per atom

What is the energy of formation in the ninth record? 0.069 eV per atom

Which value of energy of formation does entry 11 give? 0.059 eV per atom

Look up the energy of formation of the fourth one. 0.097 eV per atom